A relaxed CsRb2Na9 crystal. Source: the Alexandria database, functional PBE.

Values from the calculation:
Raw total energy   -1.21 eV/atom
M_tot   0.0000 μB per atom

Cell and atoms, written as POSCAR:
```
CsRb2Na9
1.0
-0.398 -3.879 -6.408
0.021 -7.500 0.148
-12.447 -3.812 -1.310
Na Rb Cs
9 2 1
direct
0.582 0.083 0.753 Na
0.667 0.667 0.999 Na
0.418 0.418 0.247 Na
0.500 0.500 0.500 Na
0.582 0.582 0.753 Na
0.917 0.418 0.247 Na
0.083 0.582 0.753 Na
0.418 0.917 0.247 Na
0.333 0.333 0.001 Na
0.858 0.858 0.427 Rb
0.142 0.142 0.573 Rb
0.000 0.000 0.000 Cs
```

***

A relaxed PmNd7Sm12 crystal. Source: the Alexandria database, functional PBE.

Values from the calculation:
M_tot   0.0000 μB per atom
Energy above the most stable polymorph in this dataset   0.3771 eV per atom

Cell and atoms, written as POSCAR:
```
PmNd7Sm12
1.0
-9.729 0.430 -2.292
3.081 -9.513 -0.307
1.425 3.672 9.197
Sm Nd Pm
12 7 1
direct
0.000 0.751 0.249 Sm
0.751 0.249 0.000 Sm
0.249 0.751 0.000 Sm
0.499 0.249 0.249 Sm
0.751 0.000 0.249 Sm
0.000 0.249 0.751 Sm
0.751 0.751 0.501 Sm
0.249 0.249 0.499 Sm
0.751 0.501 0.751 Sm
0.249 0.499 0.249 Sm
0.501 0.751 0.751 Sm
0.249 0.000 0.751 Sm
0.000 0.500 0.500 Nd
0.500 0.000 0.000 Nd
0.500 0.000 0.500 Nd
0.000 0.000 0.500 Nd
0.500 0.500 0.500 Nd
0.000 0.500 0.000 Nd
0.500 0.500 0.000 Nd
0.000 0.000 0.000 Pm
```

***

A relaxed Re2Sb crystal. Source: the Alexandria database, functional PBE.

Values from the calculation:
Raw formation energy   351 meV/atom
M_tot   0.0000 μB per atom
Energy above the most stable polymorph in this dataset   0.1492 eV per atom

Cell and atoms, written as POSCAR:
```
Re2Sb
1.0
1.489 5.900 0.012
-1.489 5.900 0.012
0.000 3.114 6.181
Re Sb
4 2
direct
0.561 0.561 0.275 Re
0.856 0.856 0.497 Re
0.439 0.439 0.725 Re
0.144 0.144 0.503 Re
0.166 0.166 0.883 Sb
0.834 0.834 0.117 Sb
```

***

A relaxed MgCd2 crystal. Source: the Alexandria database, functional PBE.

Values from the calculation:
Raw total energy   -1.15 eV/atom
M_tot   0.0000 μB per atom

Cell and atoms, written as POSCAR:
```
MgCd2
1.0
3.106 0.000 0.000
0.000 4.645 0.000
-1.553 -2.323 9.987
Cd Mg
4 2
direct
0.042 0.292 0.083 Cd
0.812 0.562 0.625 Cd
0.958 0.708 0.917 Cd
0.188 0.438 0.375 Cd
0.614 0.864 0.228 Mg
0.386 0.136 0.772 Mg
```